[1]
The following is a DFT calculation (PBE) of a relaxed Ba2GaFePt crystal.

Properties
ΔE_f ... 57.3 kJ/mol of formula units
Magnetic moment ... 3.203 μB per formula unit
Calculated density ... 5.69 g cm⁻³
Total DFT energy (no corrections) ... -4.156 eV per atom

Structure (CIF):
```
data_Ba2GaFePt
_symmetry_space_group_name_H-M 'P 4/m m m'
_symmetry_Int_Tables_number 123
_symmetry_space_group_name_Hall '-P 4 2'
_cell_length_a 6.0208
_cell_length_b 6.0208
_cell_length_c 4.7967
_cell_angle_alpha 90.00
_cell_angle_beta 90.00
_cell_angle_gamma 90.00
loop_
_atom_site_label
_atom_site_type_symbol
_atom_site_fract_x
_atom_site_fract_y
_atom_site_fract_z
Ba1 Ba 0.0000 0.5000 0.0000
Ga1 Ga 0.0000 0.0000 0.5000
Fe1 Fe 0.5000 0.5000 0.5000
Pt1 Pt 0.0000 0.0000 0.0000
```



[2]
The following is a DFT calculation (PBE) of a relaxed BaGa2FePt crystal.

Properties
ΔE_f ... 874.1 kJ/mol of formula units
Magnetic moment ... 2.102 μB per formula unit
Calculated density ... 5.41 g cm⁻³
Total DFT energy (no corrections) ... -2.684 eV per atom

Structure (CIF):
```
data_BaGa2FePt
_symmetry_space_group_name_H-M 'P 4/m m m'
_symmetry_Int_Tables_number 123
_symmetry_space_group_name_Hall '-P 4 2'
_cell_length_a 5.6938
_cell_length_b 5.6938
_cell_length_c 4.9973
_cell_angle_alpha 90.00
_cell_angle_beta 90.00
_cell_angle_gamma 90.00
loop_
_atom_site_label
_atom_site_type_symbol
_atom_site_fract_x
_atom_site_fract_y
_atom_site_fract_z
Ba1 Ba 0.0000 0.0000 0.0000
Ga1 Ga 0.0000 0.5000 0.0000
Fe1 Fe 0.0000 0.0000 0.5000
Pt1 Pt 0.5000 0.5000 0.5000
```



[3]
The following is a DFT calculation (PBE) of a relaxed Ba2GaFeSe crystal.

Properties
Magnetic moment ... 0.876 μB per formula unit
Calculated density ... 5.31 g cm⁻³
Total DFT energy (no corrections) ... -4.179 eV per atom

Structure (CIF):
```
data_Ba2GaFeSe
_symmetry_space_group_name_H-M 'P 4/m m m'
_symmetry_Int_Tables_number 123
_symmetry_space_group_name_Hall '-P 4 2'
_cell_length_a 5.7025
_cell_length_b 5.7025
_cell_length_c 4.6099
_cell_angle_alpha 90.00
_cell_angle_beta 90.00
_cell_angle_gamma 90.00
loop_
_atom_site_label
_atom_site_type_symbol
_atom_site_fract_x
_atom_site_fract_y
_atom_site_fract_z
Ba1 Ba 0.0000 0.5000 0.0000
Ga1 Ga 0.0000 0.0000 0.5000
Fe1 Fe 0.0000 0.0000 0.0000
Se1 Se 0.5000 0.5000 0.5000
```



[4]
The following is a DFT calculation (PBE) of a relaxed BaGa2FeSi crystal.

Properties
Magnetic moment ... 0.002 μB per formula unit
Calculated density ... 4.91 g cm⁻³
Total DFT energy (no corrections) ... -3.947 eV per atom

Structure (CIF):
```
data_BaGa2FeSi
_symmetry_space_group_name_H-M 'P 4/m m m'
_symmetry_Int_Tables_number 123
_symmetry_space_group_name_Hall '-P 4 2'
_cell_length_a 4.7065
_cell_length_b 4.7065
_cell_length_c 5.5018
_cell_angle_alpha 90.00
_cell_angle_beta 90.00
_cell_angle_gamma 90.00
loop_
_atom_site_label
_atom_site_type_symbol
_atom_site_fract_x
_atom_site_fract_y
_atom_site_fract_z
Ba1 Ba 0.0000 0.0000 0.0000
Ga1 Ga 0.0000 0.5000 0.5000
Fe1 Fe 0.0000 0.0000 0.5000
Si1 Si 0.5000 0.5000 0.0000
```



[5]
The following is a DFT calculation (PBE) of a relaxed BaGa2FeSn crystal.

Properties
ΔE_f ... -128.5 kJ/mol of formula units
Magnetic moment ... 0.060 μB per formula unit
Calculated density ... 6.56 g cm⁻³
Total DFT energy (no corrections) ... -4.355 eV per atom

Structure (CIF):
```
data_BaGa2FeSn
_symmetry_space_group_name_H-M 'P 4/m m m'
_symmetry_Int_Tables_number 123
_symmetry_space_group_name_Hall '-P 4 2'
_cell_length_a 4.7911
_cell_length_b 4.7911
_cell_length_c 4.9741
_cell_angle_alpha 90.00
_cell_angle_beta 90.00
_cell_angle_gamma 90.00
loop_
_atom_site_label
_atom_site_type_symbol
_atom_site_fract_x
_atom_site_fract_y
_atom_site_fract_z
Ba1 Ba 0.0000 0.0000 0.0000
Ga1 Ga 0.0000 0.5000 0.5000
Fe1 Fe 0.5000 0.5000 0.5000
Sn1 Sn 0.5000 0.5000 0.0000
```



[6]
The following is a DFT calculation (PBE) of a relaxed BaSr2GaFe crystal.

Properties
ΔE_f ... 589.2 kJ/mol of formula units
Magnetic moment ... 0.000 μB per formula unit
Calculated density ... 3.62 g cm⁻³
Total DFT energy (no corrections) ... -2.134 eV per atom

Structure (CIF):
```
data_BaSr2GaFe
_symmetry_space_group_name_H-M 'P 4/m m m'
_symmetry_Int_Tables_number 123
_symmetry_space_group_name_Hall '-P 4 2'
_cell_length_a 6.3632
_cell_length_b 6.3632
_cell_length_c 4.9670
_cell_angle_alpha 90.00
_cell_angle_beta 90.00
_cell_angle_gamma 90.00
loop_
_atom_site_label
_atom_site_type_symbol
_atom_site_fract_x
_atom_site_fract_y
_atom_site_fract_z
Ba1 Ba 0.0000 0.0000 0.0000
Sr1 Sr 0.0000 0.5000 0.0000
Ga1 Ga 0.5000 0.5000 0.5000
Fe1 Fe 0.0000 0.0000 0.5000
```



[7]
The following is a DFT calculation (PBE) of a relaxed BaTlGa2Fe crystal.

Properties
ΔE_f ... -93.6 kJ/mol of formula units
Magnetic moment ... 0.678 μB per formula unit
Calculated density ... 7.56 g cm⁻³
Total DFT energy (no corrections) ... -3.955 eV per atom

Structure (CIF):
```
data_BaTlGa2Fe
_symmetry_space_group_name_H-M 'P 4/m m m'
_symmetry_Int_Tables_number 123
_symmetry_space_group_name_Hall '-P 4 2'
_cell_length_a 4.8008
_cell_length_b 4.8008
_cell_length_c 5.1183
_cell_angle_alpha 90.00
_cell_angle_beta 90.00
_cell_angle_gamma 90.00
loop_
_atom_site_label
_atom_site_type_symbol
_atom_site_fract_x
_atom_site_fract_y
_atom_site_fract_z
Ba1 Ba 0.0000 0.0000 0.0000
Tl1 Tl 0.5000 0.5000 0.0000
Ga1 Ga 0.0000 0.5000 0.5000
Fe1 Fe 0.5000 0.5000 0.5000
```



[8]
The following is a DFT calculation (PBE) of a relaxed BaGa2FeW crystal.

Properties
ΔE_f ... 211.7 kJ/mol of formula units
Magnetic moment ... 1.560 μB per formula unit
Calculated density ... 8.00 g cm⁻³
Total DFT energy (no corrections) ... -5.440 eV per atom

Structure (CIF):
```
data_BaGa2FeW
_symmetry_space_group_name_H-M 'P 4/m m m'
_symmetry_Int_Tables_number 123
_symmetry_space_group_name_Hall '-P 4 2'
_cell_length_a 4.7803
_cell_length_b 4.7803
_cell_length_c 4.6903
_cell_angle_alpha 90.00
_cell_angle_beta 90.00
_cell_angle_gamma 90.00
loop_
_atom_site_label
_atom_site_type_symbol
_atom_site_fract_x
_atom_site_fract_y
_atom_site_fract_z
Ba1 Ba 0.0000 0.0000 0.0000
Ga1 Ga 0.0000 0.5000 0.5000
Fe1 Fe 0.5000 0.5000 0.5000
W1 W 0.5000 0.5000 0.0000
```



[9]
The following is a DFT calculation (PBE) of a relaxed BaY2GaFe crystal.

Properties
ΔE_f ... 210.2 kJ/mol of formula units
Magnetic moment ... 0.000 μB per formula unit
Calculated density ... 5.03 g cm⁻³
Total DFT energy (no corrections) ... -4.832 eV per atom

Structure (CIF):
```
data_BaY2GaFe
_symmetry_space_group_name_H-M 'P 4/m m m'
_symmetry_Int_Tables_number 123
_symmetry_space_group_name_Hall '-P 4 2'
_cell_length_a 5.6191
_cell_length_b 5.6191
_cell_length_c 4.6097
_cell_angle_alpha 90.00
_cell_angle_beta 90.00
_cell_angle_gamma 90.00
loop_
_atom_site_label
_atom_site_type_symbol
_atom_site_fract_x
_atom_site_fract_y
_atom_site_fract_z
Ba1 Ba 0.0000 0.0000 0.0000
Y1 Y 0.0000 0.5000 0.5000
Ga1 Ga 0.5000 0.5000 0.5000
Fe1 Fe 0.5000 0.5000 0.0000
```



[10]
The following is a DFT calculation (PBE) of a relaxed BaGd3Fe crystal.

Properties
ΔE_f ... 51.9 kJ/mol of formula units
Magnetic moment ... 21.643 μB per formula unit
Calculated density ... 6.75 g cm⁻³
Total DFT energy (no corrections) ... -10.418 eV per atom

Structure (CIF):
```
data_BaGd3Fe
_symmetry_space_group_name_H-M 'P m -3 m'
_symmetry_Int_Tables_number 221
_symmetry_space_group_name_Hall '-P 4 2 3'
_cell_length_a 5.4703
_cell_length_b 5.4703
_cell_length_c 5.4703
_cell_angle_alpha 90.00
_cell_angle_beta 90.00
_cell_angle_gamma 90.00
loop_
_atom_site_label
_atom_site_type_symbol
_atom_site_fract_x
_atom_site_fract_y
_atom_site_fract_z
Ba1 Ba 0.0000 0.0000 0.0000
Gd1 Gd 0.0000 0.5000 0.5000
Fe1 Fe 0.5000 0.5000 0.5000
```



- Which of these has the lowest total DFT energy (no corrections)?
  BaGd3Fe